Compound: V4CrNiO12
Source: the Alexandria database
Functional: PBE+U
Structure: optimized geometry

a b c (Å): 6.7848 6.7848 5.8034
angles (deg): 74.73 74.73 83.98
Last column: nearest neighbours and their distance in Å.
Fractional positions:
V1 0.7979 0.6088 0.0030  4 O 1.71-1.81
V2 0.6107 0.7966 0.5003  4 O 1.68-1.78
V3 0.3912 0.2021 0.9970  4 O 1.71-1.81
V4 0.2034 0.3893 0.4997  4 O 1.68-1.78
Cr1 0.9174 0.0826 0.0000  6 O 2.00-2.06
Ni1 0.0839 0.9161 0.5000  6 O 2.03-2.15
O1 0.9655 0.8117 0.8924  1 V 1.75
O2 0.9130 0.3700 0.0322  1 V 1.71
O3 0.8108 0.9668 0.3738  1 V 1.75
O4 0.6278 0.6547 0.7993  2 V 1.78-1.81
O5 0.6300 0.0870 0.9678  1 V 1.71
O6 0.6461 0.6271 0.3041  2 V 1.78-1.81
O7 0.3453 0.3722 0.2007  2 V 1.78-1.81
O8 0.3797 0.9174 0.5132  1 V 1.68
O9 0.3729 0.3539 0.6959  2 V 1.78-1.81
O10 0.1883 0.0345 0.1076  1 V 1.75
O11 0.0826 0.6203 0.4868  1 V 1.68
O12 0.0332 0.1892 0.6262  1 V 1.75

final energy	-7.28	eV per atom
spin magnetization	6.000	μB per cell
crystal system	monoclinic